Li2GeClF | GGA-PBE | optimized geometry

a = 5.234 Å, b = 5.234 Å, c = 4.132 Å
α = 90.00°, β = 90.00°, γ = 90.00°
Space group P4/mmm (No. 123)
Symmetry-distinct sites (fractional):
Li 0.000 0.500 0.000
Ge 0.000 0.000 0.000
Cl 0.500 0.500 0.500
F 0.000 0.000 0.500

Values from the calculation:
- size of the total moment (μB per cell) = 2.00
- energy relative to the elements, uncorrected (meV/atom) = -841
- DOS(E_F) (states/eV/cell) = 0.0

***

Zr2TaMo2 | GGA-PBE | optimized geometry

a = 6.671 Å, b = 6.671 Å, c = 4.528 Å
α = 90.00°, β = 90.00°, γ = 90.00°
Space group P4/mbm (No. 127)
Symmetry-distinct sites (fractional):
Zr 0.175 0.325 0.000
Ta 0.000 0.000 0.500
Mo 0.136 0.636 0.500

Values from the calculation:
- size of the total moment (μB per cell) = 0.00
- ΔE_f (meV per atom) = 258.0
- DOS(E_F) (states/eV/cell) = 9.1

***

CrNiSb | GGA-PBE | optimized geometry

a = 5.891 Å, b = 5.891 Å, c = 5.891 Å
α = 90.00°, β = 90.00°, γ = 90.00°
Space group F-43m (No. 216)
Symmetry-distinct sites (fractional):
Cr 0.000 0.000 0.000
Ni 0.250 0.250 0.250
Sb 0.000 0.000 0.500

Values from the calculation:
- size of the total moment (μB per cell) = 12.33
- energy relative to the elements, uncorrected (meV/atom) = -37
- DOS(E_F) (states/eV/cell) = 9.6

***

HoAl4Ni | GGA-PBE | optimized geometry

a = 4.390 Å, b = 17.572 Å, c = 5.768 Å
α = 90.00°, β = 90.00°, γ = 90.00°
Space group Cmcm (No. 63)
Symmetry-distinct sites (fractional):
Ho 0.000 0.105 0.250
Al 0.000 0.150 0.750
Al 0.000 0.294 0.510
Al 0.000 0.500 0.000
Ni 0.000 0.398 0.250

Values from the calculation:
- size of the total moment (μB per cell) = 0.00
- ΔE_f (meV per atom) = -288.4
- DOS(E_F) (states/eV/cell) = 10.1

***

Cs4DyBr6 | GGA-PBE | optimized geometry

a = 10.167 Å, b = 10.167 Å, c = 10.665 Å
α = 90.00°, β = 90.00°, γ = 90.00°
Space group P4/mnc (No. 128)
Symmetry-distinct sites (fractional):
Cs 0.182 0.318 0.250
Dy 0.000 0.000 0.000
Br 0.000 0.000 0.268
Br 0.075 0.727 0.000

Values from the calculation:
- size of the total moment (μB per cell) = 1.19
- energy relative to the elements, uncorrected (meV/atom) = -1683
- DOS(E_F) (states/eV/cell) = 11.6

***

CsPH2O2 | GGA-PBE | optimized geometry

a = 8.671 Å, b = 6.732 Å, c = 8.176 Å
α = 90.00°, β = 90.00°, γ = 90.00°
Space group Pnma (No. 62)
Symmetry-distinct sites (fractional):
Cs 0.137 0.250 0.141
P 0.108 0.250 0.681
H 0.027 0.750 0.418
H 0.227 0.250 0.559
O 0.116 0.055 0.774

Values from the calculation:
- size of the total moment (μB per cell) = 0.00
- DOS(E_F) (states/eV/cell) = 0.0
- DFT total energy (eV/atom) = -5.16